Material: Li7Mn2Co3O12
Method: DFT, PBE with a Hubbard U
State: optimized geometry

Cell lengths 4.991, 5.877, 7.710 Å; angles 79.44, 76.99, 75.59 degrees
Fractional coordinates of all 24 atoms:
Li (0.000, 0.000, 0.000)
Li (0.000, 0.500, 0.000)
Li (0.001, 0.337, 0.670)
Li (0.490, 0.171, 0.835)
Li (0.500, 0.500, 0.500)
Li (0.510, 0.829, 0.165)
Li (0.999, 0.663, 0.330)
Mn (0.499, 0.659, 0.835)
Mn (0.501, 0.341, 0.165)
Co (0.004, 0.823, 0.673)
Co (0.500, 0.000, 0.500)
Co (0.996, 0.177, 0.327)
O (0.246, 0.841, 0.438)
O (0.250, 0.169, 0.107)
O (0.254, 0.323, 0.402)
O (0.260, 0.967, 0.755)
O (0.265, 0.506, 0.754)
O (0.282, 0.645, 0.077)
O (0.718, 0.355, 0.923)
O (0.735, 0.494, 0.246)
O (0.740, 0.033, 0.245)
O (0.746, 0.677, 0.598)
O (0.750, 0.831, 0.893)
O (0.754, 0.159, 0.562)

Results
Magnetic moment: 14.000 Bohr magnetons per cell
Energy above the lowest structure with this stoichiometry: 23.3 meV per atom
DFT total energy: -141.0 eV for the cell shown